VASP calculation (PBE) on an optimized crystal structure of CoGeIrOs.

Values from the calculation:
Its space group is F-43m, No. 216. The value obtained for the total energy is -30.6 eV for the cell shown.

a = 4.288 Å, b = 4.288 Å, c = 4.288 Å
α = 60.00°, β = 60.00°, γ = 60.00°
Positions (direct):
1 Ir 0.500 0.500 0.500
2 Os 0.250 0.250 0.250
3 Ge 0.000 0.000 0.000
4 Co 0.750 0.750 0.750

VASP calculation (PBE) on an optimized crystal structure of CoGeIrPd.

Values from the calculation:
Its space group is F-43m, No. 216. The value obtained for the total energy is -25.6 eV for the cell shown.

a = 4.296 Å, b = 4.296 Å, c = 4.296 Å
α = 60.00°, β = 60.00°, γ = 60.00°
Positions (direct):
1 Co 0.750 0.750 0.750
2 Ir 0.250 0.250 0.250
3 Pd 0.500 0.500 0.500
4 Ge 0.000 0.000 0.000

VASP calculation (PBE) on an optimized crystal structure of Pr2CoGe4Ir.

Values from the calculation:
Its space group is Amm2, No. 38. The value obtained for the total energy is -49.7 eV for the cell shown.

a = 4.351 Å, b = 8.798 Å, c = 8.798 Å
α = 28.43°, β = 90.00°, γ = 90.00°
Positions (direct):
1 Ge 0.000 0.745 0.745
2 Ge 0.500 0.242 0.242
3 Ge 0.500 0.963 0.963
4 Ge 0.000 0.047 0.047
5 Co 0.000 0.182 0.182
6 Ir 0.500 0.820 0.820
7 Pr 0.000 0.393 0.393
8 Pr 0.500 0.609 0.609

VASP calculation (PBE) on an optimized crystal structure of CoGeIrPt.

Values from the calculation:
Its space group is F-43m, No. 216. The value obtained for the total energy is -26.4 eV for the cell shown.

a = 4.328 Å, b = 4.328 Å, c = 4.328 Å
α = 60.00°, β = 60.00°, γ = 60.00°
Positions (direct):
1 Ge 0.000 0.000 0.000
2 Co 0.750 0.750 0.750
3 Ir 0.250 0.250 0.250
4 Pt 0.500 0.500 0.500

Q: Number 4 is which compound?
A: CoGeIrPt

Q: Which formula does entry 3 have?
A: Pr2CoGe4Ir